[1]
The following is a PBE calculation of crystalline GdTh2Hg at its relaxed geometry, from Alexandria via LeMat-Bulk.

**DFT formation energy**: -0.07 eV/atom
**Crystal system**: tetragonal

```
GdTh2Hg
1.0
-1.577 0.068 -4.740
2.846 -3.783 -1.001
-3.603 -3.016 1.155
Gd Hg Th
1 1 2
direct
0.500 0.500 0.500
0.500 0.000 0.000
0.000 0.000 0.500
0.000 0.500 0.000
```


[2]
The following is a PBE calculation of crystalline VRuSe2Br at its relaxed geometry, from Alexandria via LeMat-Bulk.

**Total energy**: -23.96 eV for the cell shown
**Crystal system**: tetragonal

```
VRuSe2Br
1.0
4.822 0.000 0.000
0.000 4.822 0.000
0.000 0.000 5.080
Ru Se Br V
1 2 1 1
direct
0.500 0.500 0.500
0.000 0.500 0.000
0.500 0.000 0.000
0.000 0.000 0.500
0.000 0.000 0.000
```


[3]
The following is a PBE calculation of crystalline Tb3DyEr3Se8 at its relaxed geometry, from Alexandria via LeMat-Bulk.

**Total energy**: -87.43 eV for the cell shown
**Crystal system**: trigonal

```
Tb3DyEr3Se8
1.0
8.102 0.000 0.000
-4.051 7.017 -0.024
0.000 -4.655 6.641
Tb Dy Er Se
3 1 3 8
direct
0.000 0.000 0.000
0.000 0.500 0.000
0.500 0.500 0.000
0.000 0.000 0.500
0.500 0.000 0.500
0.500 0.500 0.500
0.000 0.500 0.500
0.252 0.503 0.255
0.748 0.497 0.745
0.746 0.492 0.250
0.254 0.508 0.750
0.746 0.004 0.250
0.254 0.996 0.750
0.257 0.004 0.250
0.743 0.996 0.750
```


[4]
The following is a PBE calculation of crystalline Pm2RuN at its relaxed geometry, from Alexandria via LeMat-Bulk.

**Total energy**: -29.35 eV for the cell shown
**Crystal system**: trigonal

```
Pm2RuN
1.0
3.561 0.000 0.000
1.780 3.084 0.000
1.780 1.028 7.146
Ru N Pm
1 1 2
direct
0.000 0.000 0.000
0.500 0.500 0.500
0.765 0.765 0.705
0.235 0.235 0.295
```


[5]
The following is a PBE calculation of crystalline MgHg2OsO6 at its relaxed geometry, from Alexandria via LeMat-Bulk.

**Total energy**: -106.09 eV for the cell shown
**Crystal system**: monoclinic

```
MgHg2OsO6
1.0
5.585 0.000 -0.020
0.000 5.577 0.000
0.020 0.000 7.915
Mg Hg Os O
2 4 2 12
direct
0.500 0.000 0.000
0.000 0.500 0.500
0.000 0.982 0.252
0.500 0.518 0.752
0.000 0.018 0.748
0.500 0.482 0.248
0.500 0.000 0.500
0.000 0.500 0.000
0.277 0.698 0.041
0.777 0.802 0.541
0.723 0.302 0.959
0.223 0.198 0.459
0.307 0.722 0.456
0.807 0.778 0.956
0.693 0.278 0.544
0.193 0.222 0.044
0.917 0.521 0.236
0.417 0.979 0.736
0.083 0.479 0.764
0.583 0.021 0.264
```


[6]
The following is a PBE calculation of crystalline MgBRu at its relaxed geometry, from Alexandria via LeMat-Bulk.

**DFT formation energy**: -0.16 eV/atom
**Crystal system**: hexagonal

```
MgBRu
1.0
3.912 0.000 0.000
0.000 3.512 0.000
0.000 -1.756 3.042
Ru Mg B
1 1 1
direct
0.167 0.000 0.000
0.667 0.333 0.667
0.167 0.667 0.333
```


Calculated volume in A^3/atom, matching the order above: 29.2 23.6 25.1 19.6 12.3 13.9
DOS(E_F) in states/eV per cell, matching the order above: 4.86 5.80 6.07 2.50 5.02 0.52